VTcB3: relaxed, PBE-GGA.

The structure in POSCAR format:
```
VTcB3
1.0
3.996 0.000 0.000
0.000 3.996 0.000
0.000 0.000 3.996
V Tc B
1 1 3
Direct
0.000 0.000 0.000 V
0.500 0.500 0.500 Tc
0.000 0.500 0.500 B
0.500 0.000 0.500 B
0.500 0.500 0.000 B
```

Computed properties:
**Crystal system**: cubic
**Energy above the lowest structure with this stoichiometry**: 0 kJ/mol of formula units
**Total moment**: 2.5 μB per formula unit
**VASP energy**: -6.894 eV per atom
**E_form**: 1.010 eV per atom